1.
{"formula": "SiHg2Os", "functional": "PBE-GGA", "state": "optimized geometry", "lattice_angstrom": [[0.0000, 3.3064, 3.3064], [3.3064, 0.0000, 3.3064], [3.3064, 3.3064, 0.0000]], "species": ["Si", "Hg", "Hg", "Os"], "fractional_positions": [[0.0000, 0.0000, 0.0000], [0.5000, 0.5000, 0.5000], [0.7500, 0.7500, 0.7500], [0.2500, 0.2500, 0.2500]], "energy_ev_per_atom": -3.381, "volume_a3_per_atom": 18.074, "sg": "F-43m", "density_g_cm3": 14.23}

***

2.
{"formula": "Ho2TmCu4Si2Ge2", "functional": "PBE-GGA", "state": "optimized geometry", "lattice_angstrom": [[-2.0890, 3.2765, 6.8709], [2.0890, -3.2765, 6.8709], [2.0890, 3.2765, -6.8709]], "species": ["Ho", "Ho", "Tm", "Cu", "Cu", "Cu", "Cu", "Si", "Si", "Ge", "Ge"], "fractional_positions": [[0.1286, 0.1286, 0.0000], [0.8714, 0.8714, 0.0000], [0.5000, 0.0000, 0.5000], [0.1450, 0.3365, 0.8085], [0.4719, 0.6635, 0.8085], [0.5281, 0.3365, 0.1915], [0.8550, 0.6635, 0.1915], [0.1853, 0.5000, 0.6853], [0.8147, 0.5000, 0.3147], [0.2842, 0.7842, 0.5000], [0.7158, 0.2158, 0.5000]], "e_above_lowest_polymorph_ev_per_atom": 0.009, "volume_a3_per_atom": 17.101, "sg": "Immm", "density_g_cm3": 8.42}

***

3.
{"formula": "LuZnTe3Pb", "functional": "PBE-GGA", "state": "optimized geometry", "lattice_angstrom": [[2.1653, -7.3592, 0.0000], [2.1653, 7.3592, 0.0000], [0.0000, 0.0000, 11.1319]], "species": ["Lu", "Lu", "Zn", "Zn", "Te", "Te", "Te", "Te", "Te", "Te", "Pb", "Pb"], "fractional_positions": [[0.0000, 0.0000, 0.0000], [0.0000, 0.0000, 0.5000], [0.4705, 0.5295, 0.7500], [0.5295, 0.4705, 0.2500], [0.0875, 0.9125, 0.7500], [0.3594, 0.6406, 0.5499], [0.3594, 0.6406, 0.9501], [0.6406, 0.3594, 0.0499], [0.6406, 0.3594, 0.4501], [0.9125, 0.0875, 0.2500], [0.2175, 0.7825, 0.2500], [0.7825, 0.2175, 0.7500]], "energy_ev_per_atom": -3.793, "volume_a3_per_atom": 29.565, "sg": "Cmcm", "density_g_cm3": 7.77}

***

4.
{"formula": "KZn2Cd2As2P", "functional": "PBE-GGA", "state": "optimized geometry", "lattice_angstrom": [[2.2091, 1.2754, 11.4702], [-2.2091, 1.2754, 11.4702], [0.0000, -2.5508, 11.4702]], "species": ["K", "Zn", "Zn", "Cd", "Cd", "As", "As", "P"], "fractional_positions": [[0.0000, 0.0000, 0.0000], [0.1951, 0.1951, 0.1951], [0.8049, 0.8049, 0.8049], [0.4177, 0.4177, 0.4177], [0.5823, 0.5823, 0.5823], [0.2678, 0.2678, 0.2678], [0.7322, 0.7322, 0.7322], [0.5000, 0.5000, 0.5000]], "e_above_lowest_polymorph_ev_per_atom": 0.056, "volume_a3_per_atom": 24.237, "sg": "R-3m", "density_g_cm3": 4.93}